No. 1
HfTa2Sn: relaxed, PBE.

E (eV per formula unit): -37.53

a b c (Å): 4.806 4.806 4.806
angles (deg): 60.00 60.00 60.00
Element x y z (fractional)
1 Ta 0.750 0.750 0.750
2 Ta 0.000 0.000 0.000
3 Hf 0.250 0.250 0.250
4 Sn 0.500 0.500 0.500

***

No. 2
TmAgAsO: relaxed, PBE.

ΔE to the lowest computed polymorph (eV per atom): 0.000

a b c (Å): 3.887 3.887 9.471
angles (deg): 90.00 90.00 90.00
Element x y z (fractional)
1 As 0.250 0.250 0.701
2 As 0.750 0.750 0.299
3 Ag 0.250 0.750 0.500
4 Ag 0.750 0.250 0.500
5 Tm 0.250 0.250 0.112
6 Tm 0.750 0.750 0.888
7 O 0.750 0.250 0.000
8 O 0.250 0.750 0.000

***

No. 3
LiNiBOs: relaxed, PBE.

ΔE to the lowest computed polymorph (eV per atom): 0.431

a b c (Å): 3.917 3.917 3.917
angles (deg): 60.00 60.00 60.00
Element x y z (fractional)
1 Ni 0.750 0.750 0.750
2 Li 0.250 0.250 0.250
3 B 0.000 0.000 0.000
4 Os 0.500 0.500 0.500

***

No. 4
LiGaCoMo: relaxed, PBE.

ΔE to the lowest computed polymorph (eV per atom): 0.000

a b c (Å): 4.142 4.142 4.142
angles (deg): 60.00 60.00 60.00
Each line ends with the local moment (μB).
Element x y z (fractional)
1 Co 0.750 0.750 0.750  0.24
2 Li 0.250 0.250 0.250  0.02
3 Mo 0.500 0.500 0.500  0.68
4 Ga 0.000 0.000 0.000  -0.01

***

No. 5
PrZnB4: relaxed, PBE.

ΔE to the lowest computed polymorph (eV per atom): 0.000

a b c (Å): 5.237 5.237 5.237
angles (deg): 144.60 118.70 72.82
Element x y z (fractional)
1 B 0.081 0.756 0.324
2 B 0.568 0.244 0.324
3 B 0.919 0.244 0.676
4 B 0.432 0.756 0.676
5 Pr 0.500 0.500 0.000
6 Zn 0.000 0.000 0.000

***

No. 6
HoTmS2: relaxed, PBE.

ΔE to the lowest computed polymorph (eV per atom): 0.000

a b c (Å): 3.857 3.857 6.674
angles (deg): 106.88 106.88 60.18
Element x y z (fractional)
1 Ho 0.500 0.500 0.500
2 Tm 0.000 0.000 0.000
3 S 0.251 0.251 0.754
4 S 0.749 0.749 0.246